Model w:
Computed, not measured: a geometry-optimized Tl2As structure at the PBE level of DFT.

a = 4.3554 Å, b = 4.3554 Å, c = 5.5199 Å
α = 90.00°, β = 90.00°, γ = 120.00°
Space group P-3m1 (No. 164)
Asymmetric unit:
Tl 0.3333 0.6667 0.2778 (multiplicity 2)
As 0.0000 0.0000 0.0000 (multiplicity 1)

Values from the calculation:
Its size of the total moment is 0.00 μB/cell.

---

Model x:
Computed, not measured: a geometry-optimized Tl2As structure at the PBE level of DFT.

a = 3.491 Å, b = 3.491 Å, c = 29.986 Å
α = 90.00°, β = 90.00°, γ = 90.00°
Space group I4_1/amd (No. 141, origin choice 2)
Asymmetric unit:
Tl 0.000 0.250 0.307 (multiplicity 8)
As 0.000 0.250 0.875 (multiplicity 4)

Values from the calculation:
Its size of the total moment is 0.00 μB/cell.

---

Most stable of them? model w.

---

Model w:
Computed, not measured: a geometry-optimized YCuIr2 structure at the PBE level of DFT.

a = 6.454 Å, b = 6.454 Å, c = 6.454 Å
α = 90.00°, β = 90.00°, γ = 90.00°
Space group Fm-3m (No. 225)
Asymmetric unit:
Y 0.000 0.000 0.000 (multiplicity 4)
Cu 0.000 0.000 0.500 (multiplicity 4)
Ir 0.250 0.250 0.250 (multiplicity 8)

Values from the calculation:
Its size of the total moment is 0.00 μB/cell.

---

Model x:
Computed, not measured: a geometry-optimized YCuIr2 structure at the PBE level of DFT.

a = 4.052 Å, b = 4.052 Å, c = 8.182 Å
α = 90.00°, β = 90.00°, γ = 90.00°
Space group I4/mmm (No. 139)
Asymmetric unit:
Y 0.000 0.000 0.000 (multiplicity 2)
Cu 0.000 0.000 0.500 (multiplicity 2)
Ir 0.000 0.500 0.250 (multiplicity 4)

Values from the calculation:
Its size of the total moment is 0.00 μB/cell.

---

Most stable of them? model x.

---

Model w:
Computed, not measured: a geometry-optimized ZnPbCl2 structure at the PBE level of DFT.

a = 3.4858 Å, b = 3.4858 Å, c = 31.6431 Å
α = 90.00°, β = 90.00°, γ = 120.00°
Space group R-3m (No. 166, hexagonal axes)
Asymmetric unit:
Zn 0.0000 0.0000 0.0000 (multiplicity 3)
Pb 0.0000 0.0000 0.5000 (multiplicity 3)
Cl 0.0000 0.0000 0.3781 (multiplicity 6)

Values from the calculation:
Its size of the total moment is 0.00 μB/cell.

---

Model x:
Computed, not measured: a geometry-optimized ZnPbCl2 structure at the PBE level of DFT.

a = 12.628 Å, b = 3.748 Å, c = 5.147 Å
α = 90.00°, β = 109.18°, γ = 90.00°
Space group Cm (No. 8)
Asymmetric unit:
Zn 0.000 0.000 0.000 (multiplicity 2)
Pb 0.120 0.500 0.443 (multiplicity 2)
Cl 0.195 0.000 0.932 (multiplicity 2)
Cl 0.433 0.000 0.654 (multiplicity 2)

Values from the calculation:
Its size of the total moment is 0.00 μB/cell.

---

Most stable of them? model w.